Entry 1:
This record from Alexandria describes a geometry-optimized NbCo2HOs structure. The functional is PBE.

Properties
The total moment comes out at 0.01 μB/f.u. The distance to the lowest polymorph of the same formula is 32 meV/atom.

Geometry as POSCAR:
```
NbCo2HOs
1.0
-1.397 -2.298 -2.565
2.740 0.935 -2.330
2.233 -2.963 1.438
Co Nb Os H
2 1 1 1
Direct
0.000 0.500 0.000
0.500 0.000 0.000
0.000 0.000 0.500
0.500 0.500 0.500
0.000 0.000 0.000
```

***

Entry 2:
This record from Alexandria describes a geometry-optimized Nb2CoHPd structure. The functional is PBE.

Properties
The total moment comes out at 0.00 μB/f.u. The distance to the lowest polymorph of the same formula is 0 meV/atom.

Geometry as POSCAR:
```
Nb2CoHPd
1.0
-3.921 -0.827 -0.560
0.544 -3.671 1.611
-0.806 1.430 3.530
H Nb Co Pd
1 2 1 1
Direct
0.000 0.000 0.000
0.000 0.500 0.000
0.500 0.000 0.000
0.000 0.000 0.500
0.500 0.500 0.500
```

***

Entry 3:
This record from Alexandria describes a geometry-optimized NbCo2HPd structure. The functional is PBE.

Properties
The total moment comes out at 0.00 μB/f.u. The distance to the lowest polymorph of the same formula is 0 meV/atom.

Geometry as POSCAR:
```
NbCo2HPd
1.0
3.861 0.000 0.000
0.000 3.861 0.000
0.000 0.000 3.717
H Nb Co Pd
1 1 2 1
Direct
0.000 0.000 0.000
0.500 0.500 0.500
0.000 0.500 0.000
0.500 0.000 0.000
0.000 0.000 0.500
```

***

Entry 4:
This record from Alexandria describes a geometry-optimized Nb2CoHPd structure. The functional is PBE.

Properties
The total moment comes out at 0.90 μB/f.u. The distance to the lowest polymorph of the same formula is 59 meV/atom.

Geometry as POSCAR:
```
Nb2CoHPd
1.0
4.042 0.000 0.000
0.000 4.042 0.000
0.000 0.000 3.961
H Nb Co Pd
1 2 1 1
Direct
0.000 0.000 0.000
0.000 0.500 0.000
0.500 0.000 0.000
0.500 0.500 0.500
0.000 0.000 0.500
```

***

Entry 5:
This record from Alexandria describes a geometry-optimized NbCo2HPd structure. The functional is PBE.

Properties
The total moment comes out at 0.00 μB/f.u. The distance to the lowest polymorph of the same formula is 13 meV/atom.

Geometry as POSCAR:
```
NbCo2HPd
1.0
-0.089 -3.521 -1.389
3.085 0.737 -2.068
2.254 -1.213 2.930
H Nb Co Pd
1 1 2 1
Direct
0.000 0.000 0.000
0.000 0.000 0.500
0.000 0.500 0.000
0.500 0.000 0.000
0.500 0.500 0.500
```

***

Entry 6:
This record from Alexandria describes a geometry-optimized NbCo2ReH structure. The functional is PBE.

Properties
The total moment comes out at 0.01 μB/f.u. The distance to the lowest polymorph of the same formula is 10 meV/atom.

Geometry as POSCAR:
```
NbCo2ReH
1.0
-2.865 1.867 -1.496
-1.809 -3.218 -0.551
-1.672 0.322 3.604
Re Nb Co H
1 1 2 1
Direct
0.500 0.500 0.500
0.000 0.000 0.500
0.000 0.500 0.000
0.500 0.000 0.000
0.000 0.000 0.000
```

***

Entry 7:
This record from Alexandria describes a geometry-optimized NbCo2ReH structure. The functional is PBE.

Properties
The total moment comes out at 0.00 μB/f.u. The distance to the lowest polymorph of the same formula is 0 meV/atom.

Geometry as POSCAR:
```
NbCo2ReH
1.0
-2.663 -2.632 0.398
2.242 -1.914 2.343
-1.494 1.970 3.039
Re Nb Co H
1 1 2 1
Direct
0.000 0.000 0.500
0.500 0.500 0.500
0.000 0.500 0.000
0.500 0.000 0.000
0.000 0.000 0.000
```

***

Entry 8:
This record from Alexandria describes a geometry-optimized NbCoHRh2 structure. The functional is PBE.

Properties
The total moment comes out at 0.78 μB/f.u. The distance to the lowest polymorph of the same formula is 0 meV/atom.

Geometry as POSCAR:
```
NbCoHRh2
1.0
3.906 0.000 0.000
0.000 3.906 0.000
0.000 0.000 3.826
Co Nb Rh H
1 1 2 1
Direct
0.000 0.000 0.500
0.500 0.500 0.500
0.000 0.500 0.000
0.500 0.000 0.000
0.000 0.000 0.000
```

***

Question: Which formula does entry 2 have?
Answer: Nb2CoHPd

***

Please write out number 7 again, unchanged.
This record from Alexandria describes a geometry-optimized NbCo2ReH structure. The functional is PBE.

Properties
The total moment comes out at 0.00 μB/f.u. The distance to the lowest polymorph of the same formula is 0 meV/atom.

Geometry as POSCAR:
```
NbCo2ReH
1.0
-2.663 -2.632 0.398
2.242 -1.914 2.343
-1.494 1.970 3.039
Re Nb Co H
1 1 2 1
Direct
0.000 0.000 0.500
0.500 0.500 0.500
0.000 0.500 0.000
0.500 0.000 0.000
0.000 0.000 0.000
```

***

Question: Which formula does entry 1 have?
Answer: NbCo2HOs

***

Question: Which formula does entry 7 have?
Answer: NbCo2ReH